Entry 1:
## Pm3PrAg4 (PBE)

Data for Pm3PrAg4 after structural relaxation.

Lattice parameters (Å, degrees): 9.1219 9.1219 3.5845 101.11 101.11 48.84
Fractional coordinates of all 8 atoms:
Ag  0.8237  0.4415  0.1309
Ag  0.4415  0.8237  0.1309
Ag  0.5585  0.1763  0.8691
Ag  0.1763  0.5585  0.8691
Pm  0.7996  0.7996  0.3022
Pm  0.5000  0.5000  0.5000
Pm  0.2004  0.2004  0.6978
Pr  0.0000  0.0000  0.0000

Summary:
Crystal system = monoclinic
DFT total energy = -3.864 eV per atom
Total moment = 0.19 Bohr magnetons per cell
DFT formation energy = -0.075 eV/atom

***

Entry 2:
## PmAgPt4 (PBE)

Data for PmAgPt4 after structural relaxation.

Lattice parameters (Å, degrees): 5.3955 5.3955 5.3955 60.00 60.00 60.00
Fractional coordinates of all 6 atoms:
Ag  0.0000  0.0000  0.0000
Pm  0.2500  0.2500  0.2500
Pt  0.6255  0.6255  0.1235
Pt  0.6255  0.1235  0.6255
Pt  0.1235  0.6255  0.6255
Pt  0.6255  0.6255  0.6255

Summary:
Crystal system = cubic
DFT total energy = -6.021 eV per atom
Total moment = 0.00 Bohr magnetons per cell
DFT formation energy = -0.722 eV/atom

***

Entry 3:
## RbPmAg (PBE)

Data for RbPmAg after structural relaxation.

Lattice parameters (Å, degrees): 5.3006 5.3006 5.3006 60.00 60.00 60.00
Fractional coordinates of all 3 atoms:
Ag  0.2500  0.2500  0.2500
Pm  0.0000  0.0000  0.0000
Rb  0.7500  0.7500  0.7500

Summary:
Crystal system = cubic
DFT total energy = -2.101 eV per atom
Total moment = 0.14 Bohr magnetons per cell

***

Entry 4:
## PmAgSb (PBE)

Data for PmAgSb after structural relaxation.

Lattice parameters (Å, degrees): 4.8512 4.8512 4.8512 60.00 60.00 60.00
Fractional coordinates of all 3 atoms:
Ag  0.0000  0.0000  0.0000
Pm  0.2500  0.2500  0.2500
Sb  0.7500  0.7500  0.7500

Summary:
Crystal system = cubic
DFT total energy = -4.430 eV per atom
Relative energy among the computed polymorphs = 0.000 eV per formula unit
Total moment = 0.00 Bohr magnetons per cell